First-principles (PBE-GGA) data for a relaxed Te2P2Cl crystal, as listed in Alexandria.

```
Te2P2Cl
1.0
8.543 0.000 0.000
0.000 8.543 0.000
0.000 0.000 3.446
Te P Cl
4 4 2
Cartesian
1.359 2.912 0.000 Te
2.912 7.183 0.000 Te
5.631 1.359 0.000 Te
7.183 5.631 0.000 Te
0.776 5.047 1.723 P
3.495 0.776 1.723 P
5.047 7.767 1.723 P
7.767 3.495 1.723 P
0.000 0.000 0.000 Cl
4.271 4.271 0.000 Cl
```

## Properties
**Density of states at the Fermi level**: 0.5815 states/eV/atom
**Size of the total moment**: 0.0 μB/cell
**Energy**: -3.531 eV/atom
**Raw formation energy**: 1.3 eV/f.u.

---

First-principles (PBE-GGA) data for a relaxed TePCl crystal, as listed in Alexandria.

```
TePCl
1.0
5.375 0.000 0.000
1.463 5.255 0.000
0.875 1.433 6.472
Te P Cl
2 2 2
Cartesian
0.000 0.000 0.000 Te
3.290 5.069 2.307 Te
3.374 1.282 0.739 P
4.654 3.005 1.248 P
4.759 5.518 4.624 Cl
5.764 2.675 2.989 Cl
```

## Properties
**Size of the total moment**: 0.0 μB/cell
**Energy**: -3.539 eV/atom
**Raw formation energy**: -0.2 eV/f.u.

---

First-principles (PBE-GGA) data for a relaxed TePCl crystal, as listed in Alexandria.

```
TePCl
1.0
4.630 0.000 0.000
0.005 5.641 0.000
1.251 0.033 7.811
Te P Cl
2 2 2
Cartesian
0.000 0.000 0.000 Te
2.015 2.820 1.884 Te
1.845 3.151 7.662 P
1.423 0.297 2.032 P
3.173 3.168 6.030 Cl
4.726 0.314 3.666 Cl
```

## Properties
**Size of the total moment**: 0.0 μB/cell
**Energy**: -3.652 eV/atom
**Raw formation energy**: -0.6 eV/f.u.

---

First-principles (PBE-GGA) data for a relaxed TePCl crystal, as listed in Alexandria.

```
TePCl
1.0
13.857 0.000 0.000
0.000 3.819 0.000
-1.096 0.000 4.021
Te P Cl
2 2 2
Cartesian
0.000 0.000 0.000 Te
6.928 1.910 0.000 Te
-0.112 1.910 2.590 P
6.816 0.000 2.590 P
1.902 1.910 3.071 Cl
8.830 0.000 3.071 Cl
```

## Properties
**Density of states at the Fermi level**: 0.0209 states/eV/atom
**Size of the total moment**: 0.0 μB/cell
**Energy**: -3.642 eV/atom
**Raw formation energy**: -0.5 eV/f.u.

---

First-principles (PBE-GGA) data for a relaxed TePCl2 crystal, as listed in Alexandria.

```
TePCl2
1.0
3.755 0.000 0.000
-1.877 3.252 0.000
0.000 0.000 26.447
Te P Cl
3 3 6
Cartesian
0.000 0.000 0.000 Te
0.000 2.168 17.631 Te
1.877 1.084 8.816 Te
0.000 0.000 7.294 P
0.000 2.168 24.925 P
1.877 1.084 16.110 P
0.000 0.000 14.434 Cl
0.000 0.000 19.686 Cl
0.000 2.168 5.618 Cl
0.000 2.168 10.870 Cl
1.877 1.084 2.055 Cl
1.877 1.084 23.250 Cl
```

## Properties
**Density of states at the Fermi level**: 0.8574 states/eV/atom
**Size of the total moment**: 0.0 μB/cell
**Energy**: -3.082 eV/atom
**Raw formation energy**: -0.1 eV/f.u.

---

First-principles (PBE-GGA) data for a relaxed TePCl crystal, as listed in Alexandria.

```
TePCl
1.0
6.420 0.000 0.000
0.000 21.394 0.000
0.000 0.000 3.611
Te P Cl
4 4 4
Cartesian
1.466 2.816 0.000 Te
1.744 13.513 1.805 Te
4.676 7.881 1.805 Te
4.954 18.578 0.000 Te
0.203 17.988 1.805 P
3.007 7.291 0.000 P
3.413 14.103 0.000 P
6.217 3.406 1.805 P
1.520 19.625 1.805 Cl
1.690 8.928 0.000 Cl
4.730 12.466 0.000 Cl
4.900 1.769 1.805 Cl
```

## Properties
**Density of states at the Fermi level**: 0.0000 states/eV/atom
**Size of the total moment**: 0.0 μB/cell
**Energy**: -3.634 eV/atom
**Raw formation energy**: -0.5 eV/f.u.

---

First-principles (PBE-GGA) data for a relaxed TiTePCl2 crystal, as listed in Alexandria.

```
TiTePCl2
1.0
4.580 0.000 0.000
0.000 4.580 0.000
0.000 0.000 5.437
Ti Te P Cl
1 1 1 2
Cartesian
0.000 0.000 0.000 Ti
2.290 2.290 2.719 Te
0.000 0.000 2.719 P
0.000 2.290 0.000 Cl
2.290 0.000 0.000 Cl
```

## Properties
**Density of states at the Fermi level**: 1.2374 states/eV/atom
**Size of the total moment**: 0.1 μB/cell
**Energy**: -4.397 eV/atom
**Raw formation energy**: -1.8 eV/f.u.

---

First-principles (PBE-GGA) data for a relaxed TiTePCl2 crystal, as listed in Alexandria.

```
TiTePCl2
1.0
5.088 0.000 0.000
0.000 5.088 0.000
0.000 0.000 5.502
Ti Te P Cl
1 1 1 2
Cartesian
0.000 0.000 0.000 Ti
2.544 2.544 2.751 Te
2.544 2.544 0.000 P
0.000 2.544 2.751 Cl
2.544 0.000 2.751 Cl
```

## Properties
**Density of states at the Fermi level**: 2.4213 states/eV/atom
**Size of the total moment**: 0.0 μB/cell
**Energy**: -3.276 eV/atom
**Raw formation energy**: 3.8 eV/f.u.

---

First-principles (PBE-GGA) data for a relaxed TlTePCl2 crystal, as listed in Alexandria.

```
TlTePCl2
1.0
5.681 0.000 0.000
0.000 5.681 0.000
0.000 0.000 4.952
Tl Te P Cl
1 1 1 2
Cartesian
0.000 0.000 0.000 Tl
2.840 2.840 2.476 Te
2.840 2.840 0.000 P
0.000 2.840 2.476 Cl
2.840 0.000 2.476 Cl
```

## Properties
**Density of states at the Fermi level**: 0.0578 states/eV/atom
**Size of the total moment**: 0.0 μB/cell
**Energy**: -2.982 eV/atom
**Raw formation energy**: -0.3 eV/f.u.

---

First-principles (PBE-GGA) data for a relaxed TlTePCl2 crystal, as listed in Alexandria.

```
TlTePCl2
1.0
5.155 0.000 0.000
0.000 5.155 0.000
0.000 0.000 5.618
Tl Te P Cl
1 1 1 2
Cartesian
0.000 0.000 0.000 Tl
2.578 2.578 2.809 Te
0.000 0.000 2.809 P
0.000 2.578 0.000 Cl
2.578 0.000 0.000 Cl
```

## Properties
**Density of states at the Fermi level**: 0.4192 states/eV/atom
**Size of the total moment**: 0.7 μB/cell
**Energy**: -2.543 eV/atom
**Raw formation energy**: 1.9 eV/f.u.

---

First-principles (PBE-GGA) data for a relaxed VTeP2Cl crystal, as listed in Alexandria.

```
VTeP2Cl
1.0
5.072 0.000 0.000
0.000 5.072 0.000
0.000 0.000 5.033
V Te P Cl
1 1 2 1
Cartesian
0.000 0.000 0.000 V
2.536 2.536 2.517 Te
0.000 2.536 2.517 P
2.536 0.000 2.517 P
2.536 2.536 0.000 Cl
```

## Properties
**Density of states at the Fermi level**: 1.8114 states/eV/atom
**Size of the total moment**: 0.2 μB/cell
**Energy**: -3.597 eV/atom
**Raw formation energy**: 6.9 eV/f.u.

---

First-principles (PBE-GGA) data for a relaxed VTeP2Cl crystal, as listed in Alexandria.

```
VTeP2Cl
1.0
4.794 0.000 0.000
0.000 4.794 0.000
0.000 0.000 4.454
V Te P Cl
1 1 2 1
Cartesian
0.000 0.000 0.000 V
2.397 2.397 2.227 Te
0.000 2.397 0.000 P
2.397 0.000 0.000 P
0.000 0.000 2.227 Cl
```

## Properties
**Density of states at the Fermi level**: 0.7188 states/eV/atom
**Size of the total moment**: 1.1 μB/cell
**Energy**: -4.816 eV/atom
**Raw formation energy**: 0.8 eV/f.u.

---

First-principles (PBE-GGA) data for a relaxed TePWCl2 crystal, as listed in Alexandria.

```
TePWCl2
1.0
4.636 0.000 0.000
0.000 4.636 0.000
0.000 0.000 5.130
Te P W Cl
1 1 1 2
Cartesian
0.000 0.000 0.000 Te
2.318 2.318 0.000 P
2.318 2.318 2.565 W
0.000 2.318 2.565 Cl
2.318 0.000 2.565 Cl
```

## Properties
**Density of states at the Fermi level**: 1.2060 states/eV/atom
**Size of the total moment**: 0.0 μB/cell
**Energy**: -4.682 eV/atom
**Raw formation energy**: 1.8 eV/f.u.

---

First-principles (PBE-GGA) data for a relaxed TePWCl2 crystal, as listed in Alexandria.

```
TePWCl2
1.0
5.057 0.000 0.000
0.000 5.057 0.000
0.000 0.000 5.483
Te P W Cl
1 1 1 2
Cartesian
0.000 0.000 0.000 Te
0.000 0.000 2.742 P
2.528 2.528 2.742 W
0.000 2.528 0.000 Cl
2.528 0.000 0.000 Cl
```

## Properties
**Density of states at the Fermi level**: 0.8994 states/eV/atom
**Size of the total moment**: 4.3 μB/cell
**Energy**: -3.600 eV/atom
**Raw formation energy**: 7.2 eV/f.u.

---

First-principles (PBE-GGA) data for a relaxed YTePCl2 crystal, as listed in Alexandria.

```
YTePCl2
1.0
5.162 0.000 0.000
0.000 5.162 0.000
0.000 0.000 5.440
Y Te P Cl
1 1 1 2
Cartesian
0.000 0.000 0.000 Y
2.581 2.581 2.720 Te
2.581 2.581 0.000 P
0.000 2.581 2.720 Cl
2.581 0.000 2.720 Cl
```

## Properties
**Density of states at the Fermi level**: 0.8598 states/eV/atom
**Size of the total moment**: 0.0 μB/cell
**Energy**: -3.668 eV/atom
**Raw formation energy**: 0.4 eV/f.u.

---

First-principles (PBE-GGA) data for a relaxed YTePCl2 crystal, as listed in Alexandria.

```
YTePCl2
1.0
5.025 0.000 0.000
0.000 5.025 0.000
0.000 0.000 6.371
Y Te P Cl
1 1 1 2
Cartesian
0.000 0.000 0.000 Y
0.000 0.000 3.185 Te
2.513 2.513 0.000 P
0.000 2.513 3.185 Cl
2.513 0.000 3.185 Cl
```

## Properties
**Density of states at the Fermi level**: 0.2560 states/eV/atom
**Size of the total moment**: 0.9 μB/cell
**Energy**: -3.682 eV/atom
**Raw formation energy**: 0.3 eV/f.u.

---

First-principles (PBE-GGA) data for a relaxed YTeP2Cl crystal, as listed in Alexandria.

```
YTeP2Cl
1.0
5.455 0.000 0.000
0.000 5.455 0.000
0.000 0.000 4.993
Y Te P Cl
1 1 2 1
Cartesian
0.000 0.000 0.000 Y
2.727 2.727 2.496 Te
0.000 2.727 0.000 P
2.727 0.000 0.000 P
0.000 0.000 2.496 Cl
```

## Properties
**Density of states at the Fermi level**: 0.8815 states/eV/atom
**Size of the total moment**: 0.3 μB/cell
**Energy**: -4.407 eV/atom
**Raw formation energy**: 0.2 eV/f.u.

---

First-principles (PBE-GGA) data for a relaxed YTeP2Cl crystal, as listed in Alexandria.

```
YTeP2Cl
1.0
5.128 0.000 0.000
0.000 5.128 0.000
0.000 0.000 4.978
Y Te P Cl
1 1 2 1
Cartesian
0.000 0.000 0.000 Y
2.564 2.564 2.489 Te
0.000 2.564 2.489 P
2.564 0.000 2.489 P
2.564 2.564 0.000 Cl
```

## Properties
**Density of states at the Fermi level**: 0.5849 states/eV/atom
**Size of the total moment**: 0.0 μB/cell
**Energy**: -4.244 eV/atom
**Raw formation energy**: 1.1 eV/f.u.

---

First-principles (PBE-GGA) data for a relaxed YTePCl2 crystal, as listed in Alexandria.

```
YTePCl2
1.0
5.054 0.000 0.000
0.000 5.054 0.000
0.000 0.000 5.940
Y Te P Cl
1 1 1 2
Cartesian
0.000 0.000 0.000 Y
2.527 2.527 2.970 Te
0.000 0.000 2.970 P
0.000 2.527 0.000 Cl
2.527 0.000 0.000 Cl
```

## Properties
**Density of states at the Fermi level**: 0.7675 states/eV/atom
**Size of the total moment**: 0.6 μB/cell
**Energy**: -4.439 eV/atom
**Raw formation energy**: -3.5 eV/f.u.

---

First-principles (PBE-GGA) data for a relaxed ZnTePCl2 crystal, as listed in Alexandria.

```
ZnTePCl2
1.0
4.621 0.000 0.000
0.000 4.621 0.000
0.000 0.000 5.440
Zn Te P Cl
1 1 1 2
Cartesian
0.000 0.000 0.000 Zn
2.311 2.311 2.720 Te
0.000 0.000 2.720 P
0.000 2.311 0.000 Cl
2.311 0.000 0.000 Cl
```

## Properties
**Density of states at the Fermi level**: 0.6250 states/eV/atom
**Size of the total moment**: 0.8 μB/cell
**Energy**: -2.578 eV/atom
**Raw formation energy**: 0.6 eV/f.u.

---

First-principles (PBE-GGA) data for a relaxed ZnTePCl2 crystal, as listed in Alexandria.

```
ZnTePCl2
1.0
5.372 0.000 0.000
0.000 5.372 0.000
0.000 0.000 5.117
Zn Te P Cl
1 1 1 2
Cartesian
0.000 0.000 0.000 Zn
2.686 2.686 2.558 Te
2.686 2.686 0.000 P
0.000 2.686 2.558 Cl
2.686 0.000 2.558 Cl
```

## Properties
**Density of states at the Fermi level**: 0.8432 states/eV/atom
**Size of the total moment**: 0.0 μB/cell
**Energy**: -2.322 eV/atom
**Raw formation energy**: 1.9 eV/f.u.

---

First-principles (PBE-GGA) data for a relaxed ZrTeP2Cl crystal, as listed in Alexandria.

```
ZrTeP2Cl
1.0
5.171 0.000 0.000
0.000 5.171 0.000
0.000 0.000 4.833
Zr Te P Cl
1 1 2 1
Cartesian
0.000 0.000 0.000 Zr
2.585 2.585 2.417 Te
0.000 2.585 0.000 P
2.585 0.000 0.000 P
0.000 0.000 2.417 Cl
```

## Properties
**Density of states at the Fermi level**: 0.5298 states/eV/atom
**Size of the total moment**: 0.0 μB/cell
**Energy**: -4.884 eV/atom
**Raw formation energy**: -0.1 eV/f.u.

---

First-principles (PBE-GGA) data for a relaxed ZrTeP2Cl crystal, as listed in Alexandria.

```
ZrTeP2Cl
1.0
5.097 0.000 0.000
0.000 5.097 0.000
0.000 0.000 4.851
Zr Te P Cl
1 1 2 1
Cartesian
0.000 0.000 0.000 Zr
2.548 2.548 2.426 Te
0.000 2.548 2.426 P
2.548 0.000 2.426 P
2.548 2.548 0.000 Cl
```

## Properties
**Density of states at the Fermi level**: 1.1157 states/eV/atom
**Size of the total moment**: 0.0 μB/cell
**Energy**: -4.030 eV/atom
**Raw formation energy**: 4.2 eV/f.u.

---

First-principles (PBE-GGA) data for a relaxed ZrTePCl2 crystal, as listed in Alexandria.

```
ZrTePCl2
1.0
5.057 0.000 0.000
0.000 5.057 0.000
0.000 0.000 5.497
Zr Te P Cl
1 1 1 2
Cartesian
0.000 0.000 0.000 Zr
2.528 2.528 2.748 Te
2.528 2.528 0.000 P
0.000 2.528 2.748 Cl
2.528 0.000 2.748 Cl
```

## Properties
**Density of states at the Fermi level**: 1.4479 states/eV/atom
**Size of the total moment**: 1.9 μB/cell
**Energy**: -3.515 eV/atom
**Raw formation energy**: 3.2 eV/f.u.

---

First-principles (PBE-GGA) data for a relaxed ZrTePCl2 crystal, as listed in Alexandria.

```
ZrTePCl2
1.0
4.874 0.000 0.000
0.000 4.874 0.000
0.000 0.000 5.486
Zr Te P Cl
1 1 1 2
Cartesian
0.000 0.000 0.000 Zr
2.437 2.437 2.743 Te
0.000 0.000 2.743 P
0.000 2.437 0.000 Cl
2.437 0.000 0.000 Cl
```

## Properties
**Density of states at the Fermi level**: 1.0643 states/eV/atom
**Size of the total moment**: 0.3 μB/cell
**Energy**: -4.607 eV/atom
**Raw formation energy**: -2.2 eV/f.u.

---

First-principles (PBE-GGA) data for a relaxed Th6P5Cl crystal, as listed in Alexandria.

```
Th6P5Cl
1.0
3.587 -6.179 0.000
3.587 6.179 0.000
-2.365 0.000 6.750
Th P Cl
6 5 1
Cartesian
-0.026 2.132 5.014 Th
1.115 0.000 1.726 Th
-0.026 -2.132 5.014 Th
4.835 2.132 1.736 Th
3.694 0.000 5.024 Th
4.835 -2.132 1.736 Th
-1.183 0.000 3.375 P
3.587 4.109 0.000 P
2.405 2.018 3.375 P
2.405 -2.018 3.375 P
3.587 -4.109 0.000 P
3.587 0.000 0.000 Cl
```

## Properties
**Density of states at the Fermi level**: 0.5737 states/eV/atom
**Size of the total moment**: 0.0 μB/cell
**Energy**: -7.622 eV/atom
**Raw formation energy**: -18.1 eV/f.u.

---

First-principles (PBE-GGA) data for a relaxed ThPCl crystal, as listed in Alexandria.

```
ThPCl
1.0
4.640 0.000 0.000
-2.320 4.019 0.000
0.000 0.000 3.824
Th P Cl
1 1 1
Cartesian
0.000 0.000 0.000 Th
2.320 1.340 1.880 P
0.000 2.679 3.770 Cl
```

## Properties
**Density of states at the Fermi level**: 0.1273 states/eV/atom
**Size of the total moment**: 0.0 μB/cell
**Energy**: -6.035 eV/atom
**Raw formation energy**: -3.4 eV/f.u.

---

First-principles (PBE-GGA) data for a relaxed Th2PCl2 crystal, as listed in Alexandria.

```
Th2PCl2
1.0
4.055 0.000 0.000
-2.027 3.512 0.000
0.000 0.000 31.644
Th P Cl
6 3 6
Cartesian
0.000 0.000 3.707 Th
0.000 0.000 27.937 Th
0.000 2.341 17.389 Th
0.000 2.341 24.803 Th
2.027 1.171 6.841 Th
2.027 1.171 14.255 Th
0.000 0.000 15.822 P
0.000 2.341 5.274 P
2.027 1.171 26.370 P
0.000 0.000 8.645 Cl
0.000 0.000 22.999 Cl
0.000 2.341 12.451 Cl
0.000 2.341 29.742 Cl
2.027 1.171 1.903 Cl
2.027 1.171 19.194 Cl
```

## Properties
**Density of states at the Fermi level**: 0.3243 states/eV/atom
**Size of the total moment**: 0.0 μB/cell
**Energy**: -6.560 eV/atom
**Raw formation energy**: -8.9 eV/f.u.